# 1
Entry from Alexandria: a relaxed structure of P2IrRu (PBE).

Output
Formation energy from the elements (meV/atom): -463
Electronic total energy (eV per atom): -7.70
Distance to the lowest polymorph of the same formula (eV/atom): 0.000

a = 4.3930 Å, b = 3.6689 Å, c = 4.3049 Å
α = 64.61°, β = 90.00°, γ = 90.00°
Last column: nearest neighbours and their distance in Å.
Sites, in units of the cell vectors:
P  0.5000  0.5309  0.3151  3 Ir 2.30-2.50, 2 Ru 2.42
P  0.0000  0.7195  0.9345  3 Ru 2.30-2.51, 2 Ir 2.42
Ru  0.0000  0.3984  0.5786  5 P 2.30-2.51
Ir  0.5000  0.8512  0.6718  5 P 2.30-2.50


# 2
Entry from Alexandria: a relaxed structure of Ag2Hg2Pb (PBE).

Output
Formation energy from the elements (meV/atom): 117
Electronic total energy (eV per atom): -1.89
Distance to the lowest polymorph of the same formula (eV/atom): 0.038

a = 4.0741 Å, b = 4.0741 Å, c = 7.8453 Å
α = 74.95°, β = 74.95°, γ = 90.00°
Last column: nearest neighbours and their distance in Å.
Sites, in units of the cell vectors:
Hg  0.3943  0.3943  0.2114  4 Ag 2.93, 1 Hg 3.09, 4 Pb 3.27
Hg  0.6057  0.6057  0.7886  4 Ag 2.93, 1 Hg 3.09, 4 Pb 3.27
Ag  0.2500  0.7500  0.5000  4 Ag 2.88, 4 Hg 2.93
Ag  0.7500  0.2500  0.5000  4 Ag 2.88, 4 Hg 2.93
Pb  0.0000  0.0000  0.0000  8 Hg 3.27